CeEr2Mn: optimized geometry, PBE.

Summary:
As for the total magnetization: 4.4 μB/cell. Its crystal system is tetragonal. For the density of states at the Fermi level, the calculation gives 8.037 states/eV/cell. The calculation puts the energy relative to the lowest polymorph listed for this composition at 0.0000 eV per atom. For the calculated formation energy, the calculation gives 0.15 eV/atom.

a = 3.4318 Å, b = 3.4318 Å, c = 8.8145 Å
α = 90.00°, β = 90.00°, γ = 90.00°
Element x y z (fractional)
Ce 0.0000 0.0000 0.0000
Er 0.5000 0.5000 0.3031
Er 0.5000 0.5000 0.6969
Mn 0.0000 0.0000 0.5000



Tb2InCo: optimized geometry, PBE.

Summary:
As for the total magnetization: 0.0 μB/cell. Its crystal system is trigonal. For the density of states at the Fermi level, the calculation gives 1.212 states/eV/cell. For the calculated formation energy, the calculation gives 0.00 eV/atom.

a = 9.8468 Å, b = 9.8468 Å, c = 9.8468 Å
α = 21.94°, β = 21.94°, γ = 21.94°
Element x y z (fractional)
Tb 0.1145 0.1145 0.1145
Tb 0.8855 0.8855 0.8855
In 0.0000 0.0000 0.0000
Co 0.5000 0.5000 0.5000



La2Nd3Hg3: optimized geometry, PBE.

Summary:
As for the total magnetization: 0.0 μB/cell. Its crystal system is orthorhombic. For the density of states at the Fermi level, the calculation gives 10.674 states/eV/cell. For the calculated formation energy, the calculation gives -0.34 eV/atom.

a = 11.9004 Å, b = 11.9004 Å, c = 11.9004 Å
α = 161.18°, β = 153.22°, γ = 32.94°
Element x y z (fractional)
La 0.2321 0.2321 0.0000
La 0.7679 0.7679 0.0000
Nd 0.0000 0.0000 0.0000
Nd 0.3812 0.8812 0.5000
Nd 0.6188 0.1188 0.5000
Hg 0.1158 0.6158 0.5000
Hg 0.5000 0.5000 0.0000
Hg 0.8842 0.3842 0.5000



Nd2AgPd2: optimized geometry, PBE.

Summary:
As for the total magnetization: 0.0 μB/cell. Its crystal system is tetragonal. For the density of states at the Fermi level, the calculation gives 5.495 states/eV/cell. For the calculated formation energy, the calculation gives -0.67 eV/atom.

a = 7.8008 Å, b = 7.8008 Å, c = 3.8763 Å
α = 90.00°, β = 90.00°, γ = 90.00°
Element x y z (fractional)
Nd 0.1730 0.3270 0.0000
Nd 0.3270 0.8270 0.0000
Nd 0.6730 0.1730 0.0000
Nd 0.8270 0.6730 0.0000
Ag 0.0000 0.0000 0.5000
Ag 0.5000 0.5000 0.5000
Pd 0.1286 0.6286 0.5000
Pd 0.3714 0.1286 0.5000
Pd 0.6286 0.8714 0.5000
Pd 0.8714 0.3714 0.5000



BaMgGa2Ag5: optimized geometry, PBE.

Summary:
As for the total magnetization: 0.0 μB/cell. Its crystal system is tetragonal. For the density of states at the Fermi level, the calculation gives 4.407 states/eV/cell. For the calculated formation energy, the calculation gives -0.03 eV/atom.

a = 4.9646 Å, b = 4.9646 Å, c = 9.0700 Å
α = 90.00°, β = 90.00°, γ = 90.00°
Element x y z (fractional)
Ba 0.0000 0.0000 0.0000
Mg 0.0000 0.0000 0.5000
Ga 0.5000 0.5000 0.2796
Ga 0.5000 0.5000 0.7204
Ag 0.0000 0.5000 0.3384
Ag 0.0000 0.5000 0.6616
Ag 0.5000 0.0000 0.3384
Ag 0.5000 0.0000 0.6616
Ag 0.5000 0.5000 0.0000



V5GaGe6: optimized geometry, PBE.

Summary:
As for the total magnetization: 2.8 μB/cell. Its crystal system is monoclinic. For the density of states at the Fermi level, the calculation gives 10.549 states/eV/cell. For the calculated formation energy, the calculation gives 0.02 eV/atom.

a = 7.2110 Å, b = 7.2110 Å, c = 4.6571 Å
α = 103.87°, β = 103.87°, γ = 119.94°
Element x y z (fractional)
V 0.0000 0.0000 0.0000
V 0.1764 0.8236 0.5000
V 0.3632 0.6368 0.0000
V 0.6368 0.3632 0.0000
V 0.8236 0.1764 0.5000
Ga 0.5000 0.5000 0.5000
Ge 0.0479 0.4013 0.2035
Ge 0.2081 0.2081 0.6690
Ge 0.4013 0.0479 0.2035
Ge 0.5987 0.9521 0.7965
Ge 0.7919 0.7919 0.3310
Ge 0.9521 0.5987 0.7965



Ga3CoIr4: optimized geometry, PBE.

Summary:
As for the total magnetization: 2.7 μB/cell. Its crystal system is tetragonal. For the density of states at the Fermi level, the calculation gives 5.562 states/eV/cell. For the calculated formation energy, the calculation gives -0.26 eV/atom.

a = 6.7752 Å, b = 6.7752 Å, c = 6.7752 Å
α = 143.07°, β = 143.07°, γ = 53.22°
Element x y z (fractional)
Ga 0.0000 0.0000 0.0000
Ga 0.2536 0.2536 0.0000
Ga 0.7464 0.7464 0.0000
Co 0.5000 0.5000 0.0000
Ir 0.1246 0.6246 0.5000
Ir 0.3754 0.8754 0.5000
Ir 0.6246 0.1246 0.5000
Ir 0.8754 0.3754 0.5000



LiTmLu2: optimized geometry, PBE.

Summary:
As for the total magnetization: 0.0 μB/cell. Its crystal system is cubic. For the density of states at the Fermi level, the calculation gives 2.355 states/eV/cell. The calculation puts the energy relative to the lowest polymorph listed for this composition at 0.1021 eV per atom. For the calculated formation energy, the calculation gives 0.18 eV/atom.

a = 5.3581 Å, b = 5.3581 Å, c = 5.3581 Å
α = 60.00°, β = 60.00°, γ = 60.00°
Element x y z (fractional)
Li 0.0000 0.0000 0.0000
Tm 0.5000 0.5000 0.5000
Lu 0.2500 0.2500 0.2500
Lu 0.7500 0.7500 0.7500



BaAcVN3: optimized geometry, PBE.

Summary:
As for the total magnetization: 0.0 μB/cell. Its crystal system is monoclinic. For the density of states at the Fermi level, the calculation gives 1.440 states/eV/cell. Its uncorrected energy is -7.489 eV/atom.

a = 7.3302 Å, b = 7.3302 Å, c = 7.9345 Å
α = 105.75°, β = 105.75°, γ = 31.73°
Element x y z (fractional)
Ba 0.1405 0.1405 0.0679
Ba 0.8595 0.8595 0.9321
Ac 0.1529 0.1529 0.5808
Ac 0.8471 0.8471 0.4192
V 0.4991 0.4991 0.7012
V 0.5009 0.5009 0.2988
N 0.0017 0.0017 0.3111
N 0.3589 0.3589 0.6716
N 0.3618 0.3618 0.1922
N 0.6382 0.6382 0.8078
N 0.6411 0.6411 0.3284
N 0.9983 0.9983 0.6889



MnTl2Cl: optimized geometry, PBE.

Summary:
As for the total magnetization: 4.2 μB/cell. Its crystal system is monoclinic. For the density of states at the Fermi level, the calculation gives 2.980 states/eV/cell. The calculation puts the energy relative to the lowest polymorph listed for this composition at 0.2142 eV per atom.

a = 3.6363 Å, b = 3.6012 Å, c = 7.5755 Å
α = 90.00°, β = 90.07°, γ = 90.00°
Element x y z (fractional)
Mn 0.0000 0.0000 0.0000
Tl 0.5004 0.5000 0.2264
Tl 0.4996 0.5000 0.7736
Cl 0.0000 0.0000 0.5000



CoBPCl2: optimized geometry, PBE.

Summary:
As for the total magnetization: 0.0 μB/cell. Its crystal system is tetragonal. For the density of states at the Fermi level, the calculation gives 3.208 states/eV/cell. The calculation puts the energy relative to the lowest polymorph listed for this composition at 0.0000 eV per atom.

a = 4.7872 Å, b = 4.7872 Å, c = 4.2041 Å
α = 90.00°, β = 90.00°, γ = 90.00°
Element x y z (fractional)
Co 0.0000 0.0000 0.0000
B 0.5000 0.5000 0.5000
P 0.0000 0.0000 0.5000
Cl 0.0000 0.5000 0.0000
Cl 0.5000 0.0000 0.0000



Sb3W4: optimized geometry, PBE.

Summary:
As for the total magnetization: 0.0 μB/cell. Its crystal system is tetragonal. For the density of states at the Fermi level, the calculation gives 2.937 states/eV/cell. The calculation puts the energy relative to the lowest polymorph listed for this composition at 0.0000 eV per atom.

a = 13.2681 Å, b = 13.2681 Å, c = 13.2681 Å
α = 165.85°, β = 165.85°, γ = 20.06°
Element x y z (fractional)
Sb 0.0000 0.0000 0.0000
Sb 0.3087 0.3087 0.0000
Sb 0.6913 0.6913 0.0000
W 0.1218 0.1218 0.0000
W 0.4334 0.4334 0.0000
W 0.5666 0.5666 0.0000
W 0.8782 0.8782 0.0000



NpGaPb2O6: optimized geometry, PBE.

Summary:
As for the total magnetization: 4.0 μB/cell. Its crystal system is monoclinic. For the density of states at the Fermi level, the calculation gives 14.749 states/eV/cell. Its uncorrected energy is -7.196 eV/atom.

a = 5.8352 Å, b = 5.8198 Å, c = 10.1143 Å
α = 90.00°, β = 125.15°, γ = 90.00°
Element x y z (fractional)
Np 0.0000 0.0000 0.0000
Np 0.0000 0.5000 0.5000
Ga 0.5000 0.0000 0.5000
Ga 0.5000 0.5000 0.0000
Pb 0.2528 0.0189 0.7532
Pb 0.2528 0.4811 0.2532
Pb 0.7472 0.5189 0.7468
Pb 0.7472 0.9811 0.2468
O 0.1958 0.2159 0.4696
O 0.1958 0.2841 0.9696
O 0.2621 0.7254 0.4721
O 0.2621 0.7746 0.9721
O 0.3168 0.0094 0.2579
O 0.3168 0.4906 0.7579
O 0.6832 0.5094 0.2421
O 0.6832 0.9906 0.7421
O 0.7379 0.2254 0.0279
O 0.7379 0.2746 0.5279
O 0.8042 0.7159 0.0304
O 0.8042 0.7841 0.5304



ScNi2Te: optimized geometry, PBE.

Summary:
As for the total magnetization: 0.0 μB/cell. Its crystal system is monoclinic. For the density of states at the Fermi level, the calculation gives 5.316 states/eV/cell. Its uncorrected energy is -5.739 eV/atom.

a = 4.7876 Å, b = 4.7876 Å, c = 8.1694 Å
α = 108.79°, β = 108.79°, γ = 49.23°
Element x y z (fractional)
Sc 0.0000 0.0000 0.0000
Sc 0.0430 0.0430 0.4712
Ni 0.2541 0.2541 0.8335
Ni 0.3637 0.3637 0.1671
Ni 0.7097 0.7097 0.9900
Ni 0.7765 0.7765 0.6380
Te 0.4797 0.4797 0.7007
Te 0.6801 0.6801 0.2904



ReAsPb3: optimized geometry, PBE.

Summary:
As for the total magnetization: 3.8 μB/cell. Its crystal system is cubic. For the density of states at the Fermi level, the calculation gives 4.764 states/eV/cell. The calculation puts the energy relative to the lowest polymorph listed for this composition at 0.7990 eV per atom. For the calculated formation energy, the calculation gives 1.53 eV/atom.

a = 5.5107 Å, b = 5.5107 Å, c = 5.5107 Å
α = 90.00°, β = 90.00°, γ = 90.00°
Element x y z (fractional)
Re 0.0000 0.0000 0.0000
As 0.5000 0.5000 0.5000
Pb 0.0000 0.5000 0.5000
Pb 0.5000 0.0000 0.5000
Pb 0.5000 0.5000 0.0000



YTiPdPt: optimized geometry, PBE.

Summary:
As for the total magnetization: 0.0 μB/cell. Its crystal system is cubic. For the density of states at the Fermi level, the calculation gives 3.201 states/eV/cell. For the calculated formation energy, the calculation gives -0.74 eV/atom.

a = 4.7333 Å, b = 4.7333 Å, c = 4.7333 Å
α = 60.00°, β = 60.00°, γ = 60.00°
Element x y z (fractional)
Y 0.0000 0.0000 0.0000
Ti 0.5000 0.5000 0.5000
Pd 0.7500 0.7500 0.7500
Pt 0.2500 0.2500 0.2500



CaLaTb4Se8: optimized geometry, PBE.

Summary:
As for the total magnetization: 0.0 μB/cell. Its crystal system is trigonal. For the density of states at the Fermi level, the calculation gives 4.222 states/eV/cell. Its uncorrected energy is -5.629 eV/atom.

a = 8.6145 Å, b = 8.6145 Å, c = 8.6145 Å
α = 59.09°, β = 59.09°, γ = 59.09°
Element x y z (fractional)
Ca 0.0000 0.0000 0.0000
La 0.3719 0.3719 0.3719
Tb 0.3716 0.3716 0.8794
Tb 0.3716 0.8794 0.3716
Tb 0.7472 0.7472 0.7472
Tb 0.8794 0.3716 0.3716
Se 0.1264 0.1264 0.5970
Se 0.1264 0.5970 0.1264
Se 0.1334 0.1334 0.1334
Se 0.1432 0.6225 0.6225
Se 0.5970 0.1264 0.1264
Se 0.6153 0.6153 0.6153
Se 0.6225 0.1432 0.6225
Se 0.6225 0.6225 0.1432



K2SrSbO4: optimized geometry, PBE.

Summary:
As for the total magnetization: 0.0 μB/cell. Its crystal system is tetragonal. For the density of states at the Fermi level, the calculation gives 2.754 states/eV/cell. Its uncorrected energy is -5.215 eV/atom.

a = 6.4353 Å, b = 6.4353 Å, c = 6.4353 Å
α = 123.43°, β = 123.43°, γ = 84.16°
Element x y z (fractional)
K 0.0000 0.0000 0.0000
K 0.7500 0.2500 0.5000
Sr 0.5000 0.5000 0.0000
Sb 0.2500 0.7500 0.5000
O 0.1884 0.6457 0.1100
O 0.3543 0.4643 0.5427
O 0.5357 0.0784 0.8900
O 0.9216 0.8116 0.4573



LiZnCd3: optimized geometry, PBE.

Summary:
As for the total magnetization: 0.0 μB/cell. Its crystal system is cubic. For the density of states at the Fermi level, the calculation gives 1.625 states/eV/cell. The calculation puts the energy relative to the lowest polymorph listed for this composition at 0.2816 eV per atom. For the calculated formation energy, the calculation gives 0.17 eV/atom.

a = 5.0711 Å, b = 5.0711 Å, c = 5.0711 Å
α = 90.00°, β = 90.00°, γ = 90.00°
Element x y z (fractional)
Li 0.0000 0.0000 0.0000
Zn 0.5000 0.5000 0.5000
Cd 0.0000 0.5000 0.5000
Cd 0.5000 0.0000 0.5000
Cd 0.5000 0.5000 0.0000



CsBaCoH6: optimized geometry, PBE.

Summary:
As for the total magnetization: 0.1 μB/cell. Its crystal system is trigonal. Its uncorrected energy is -3.566 eV/atom.

a = 5.6226 Å, b = 5.6226 Å, c = 5.9762 Å
α = 90.00°, β = 90.00°, γ = 120.00°
Element x y z (fractional)
Cs 0.0000 0.0000 0.0000
Ba 0.3333 0.6667 0.5000
Co 0.6667 0.3333 0.5000
H 0.4358 0.1332 0.6612
H 0.4358 0.3026 0.3388
H 0.6974 0.1332 0.3388
H 0.6974 0.5642 0.6612
H 0.8668 0.3026 0.6612
H 0.8668 0.5642 0.3388